PaZn9Ag2 | PBE | relaxed

VASP energy: -26.7 eV/cell
Energy above the most stable polymorph in this dataset: 9 meV/atom
Space-group type: R-3m (166)

Unit cell a=5.251 b=5.251 c=8.901 alpha=72.84 beta=72.84 gamma=60.00
Sites, in units of the cell vectors:
Zn  0.081  0.589  0.741
Zn  0.589  0.081  0.741
Zn  0.334  0.334  0.999
Zn  0.919  0.411  0.259
Zn  0.666  0.666  0.001
Zn  0.589  0.589  0.741
Zn  0.500  0.500  0.500
Ag  0.865  0.865  0.405
Zn  0.411  0.919  0.259
Pa  0.000  0.000  0.000
Zn  0.411  0.411  0.259
Ag  0.135  0.135  0.595